The following is a PBE calculation of a relaxed PaMn6 crystal, from the Alexandria database.

abc: 6.037 6.037 6.037
angles: 90.00 90.00 90.00
Space group Im-3m (No. 229)
One atom of each set of equivalent atoms:
Pa  0.000  0.000  0.000 x2
Mn  0.000  0.250  0.500 x12

spin magnetization: 0.00 Bohr magnetons per cell
distance to the lowest polymorph of the same formula: 695 meV per atom
E_form: 0.698 eV/atom
N(E_F): 21.2 states/eV per cell

The following is a PBE calculation of a relaxed PaMn3 crystal, from the Alexandria database.

abc: 3.981 3.981 3.981
angles: 90.00 90.00 90.00
Space group Pm-3m (No. 221)
One atom of each set of equivalent atoms:
Pa  0.000  0.000  0.000 x1
Mn  0.000  0.500  0.500 x3

spin magnetization: 7.52 Bohr magnetons per cell
E_form: 0.157 eV/atom
N(E_F): 6.1 states/eV per cell

The following is a PBE calculation of a relaxed PaMn2 crystal, from the Alexandria database.

abc: 7.203 7.203 7.203
angles: 90.00 90.00 90.00
Space group Fd-3m (No. 227, origin choice 2)
One atom of each set of equivalent atoms:
Pa  0.125  0.125  0.125 x8
Mn  0.000  0.000  0.500 x16

spin magnetization: 23.39 Bohr magnetons per cell
E_form: -0.100 eV/atom
N(E_F): 43.3 states/eV per cell

The following is a PBE calculation of a relaxed Pa2Mn3 crystal, from the Alexandria database.

abc: 5.463 9.901 6.210
angles: 90.00 90.00 90.00
Space group Cmce (No. 64)
One atom of each set of equivalent atoms:
Pa  0.000  0.157  0.101 x8
Mn  0.000  0.000  0.500 x4
Mn  0.250  0.112  0.750 x8

spin magnetization: 0.00 Bohr magnetons per cell
E_form: -0.068 eV/atom
N(E_F): 24.2 states/eV per cell

The following is a PBE calculation of a relaxed Pa2Mn crystal, from the Alexandria database.

abc: 3.515 3.515 9.556
angles: 90.00 90.00 90.00
Space group I4/mmm (No. 139)
One atom of each set of equivalent atoms:
Pa  0.000  0.000  0.156 x4
Mn  0.000  0.000  0.500 x2

spin magnetization: 0.23 Bohr magnetons per cell
E_form: 0.044 eV/atom
N(E_F): 9.3 states/eV per cell

The following is a PBE calculation of a relaxed Pa3Mn crystal, from the Alexandria database.

abc: 4.499 4.499 4.499
angles: 90.00 90.00 90.00
Space group Pm-3m (No. 221)
One atom of each set of equivalent atoms:
Pa  0.000  0.000  0.500 x3
Mn  0.500  0.500  0.500 x1

spin magnetization: 3.23 Bohr magnetons per cell
distance to the lowest polymorph of the same formula: 289 meV per atom
E_form: 0.276 eV/atom
N(E_F): 8.9 states/eV per cell

The following is a PBE calculation of a relaxed Pa4Mn crystal, from the Alexandria database.

abc: 4.994 4.994 4.994
angles: 90.00 90.00 90.00
Space group Pm-3m (No. 221)
One atom of each set of equivalent atoms:
Pa  0.000  0.000  0.000 x1
Pa  0.000  0.500  0.500 x3
Mn  0.500  0.500  0.500 x1

spin magnetization: 0.00 Bohr magnetons per cell
E_form: 0.332 eV/atom
N(E_F): 9.6 states/eV per cell

The following is a PBE calculation of a relaxed PaMn6 crystal, from the Alexandria database.

abc: 7.925 4.582 10.231
angles: 90.00 90.00 90.00
Space group Pnma (No. 62)
One atom of each set of equivalent atoms:
Pa  0.243  0.250  0.058 x4
Mn  0.057  0.250  0.584 x4
Mn  0.069  0.510  0.809 x8
Mn  0.121  0.750  0.028 x4
Mn  0.137  0.250  0.352 x4
Mn  0.190  0.750  0.258 x4

spin magnetization: 3.58 Bohr magnetons per cell
distance to the lowest polymorph of the same formula: 0 meV per atom
E_form: 0.003 eV/atom
N(E_F): 35.1 states/eV per cell

The following is a PBE calculation of a relaxed Pa3Mn crystal, from the Alexandria database.

abc: 3.095 3.159 8.876
angles: 90.00 90.00 90.00
Space group Pmm2 (No. 25)
One atom of each set of equivalent atoms:
Pa  0.000  0.000  0.000 x1
Pa  0.000  0.500  0.302 x1
Pa  0.500  0.500  0.719 x1
Mn  0.500  0.000  0.493 x1

spin magnetization: 0.00 Bohr magnetons per cell
distance to the lowest polymorph of the same formula: 266 meV per atom
E_form: 0.253 eV/atom
N(E_F): 8.0 states/eV per cell

The following is a PBE calculation of a relaxed Pa3Mn crystal, from the Alexandria database.

abc: 11.158 11.158 5.492
angles: 90.00 90.00 90.00
Space group P4_2/n (No. 86, origin choice 2)
One atom of each set of equivalent atoms:
Pa  0.040  0.919  0.239 x8
Pa  0.118  0.293  0.498 x8
Pa  0.135  0.832  0.768 x8
Mn  0.047  0.322  0.987 x8

spin magnetization: 0.00 Bohr magnetons per cell
distance to the lowest polymorph of the same formula: 0 meV per atom
E_form: -0.013 eV/atom
N(E_F): 53.3 states/eV per cell

The following is a PBE calculation of a relaxed Pa3Mn crystal, from the Alexandria database.

abc: 3.351 5.541 9.118
angles: 90.00 90.00 90.00
Space group Immm (No. 71)
One atom of each set of equivalent atoms:
Pa  0.000  0.000  0.000 x2
Pa  0.000  0.500  0.216 x4
Mn  0.000  0.000  0.500 x2

spin magnetization: 0.00 Bohr magnetons per cell
distance to the lowest polymorph of the same formula: 5 meV per atom
E_form: -0.008 eV/atom
N(E_F): 11.3 states/eV per cell

The following is a PBE calculation of a relaxed Pa5Mn crystal, from the Alexandria database.

abc: 4.087 12.334 5.238
angles: 90.00 90.00 90.00
Space group Cmmm (No. 65)
One atom of each set of equivalent atoms:
Pa  0.000  0.000  0.000 x2
Pa  0.000  0.147  0.500 x4
Pa  0.000  0.339  0.000 x4
Mn  0.000  0.500  0.500 x2

spin magnetization: 0.00 Bohr magnetons per cell
E_form: 0.135 eV/atom
N(E_F): 23.9 states/eV per cell

The following is a PBE calculation of a relaxed PaMn2 crystal, from the Alexandria database.

abc: 2.850 2.850 11.205
angles: 90.00 90.00 90.00
Space group I4/mmm (No. 139)
One atom of each set of equivalent atoms:
Pa  0.000  0.000  0.000 x2
Mn  0.000  0.000  0.304 x4

spin magnetization: 0.00 Bohr magnetons per cell
E_form: 0.097 eV/atom
N(E_F): 7.8 states/eV per cell

The following is a PBE calculation of a relaxed PaMnPb crystal, from the Alexandria database.

abc: 3.218 3.218 12.029
angles: 90.00 90.00 90.00
Space group I4mm (No. 107)
One atom of each set of equivalent atoms:
Pa  0.000  0.000  0.000 x2
Mn  0.000  0.000  0.369 x2
Pb  0.000  0.000  0.720 x2

spin magnetization: 0.00 Bohr magnetons per cell
E_form: 0.171 eV/atom
N(E_F): 4.0 states/eV per cell

The following is a PBE calculation of a relaxed Pa2MnPb crystal, from the Alexandria database.

abc: 3.7654 3.7654 24.6130
angles: 90.00 90.00 120.00
Space group R-3m (No. 166, hexagonal axes)
One atom of each set of equivalent atoms:
Pa  0.0000  0.0000  0.2256 x6
Mn  0.0000  0.0000  0.5000 x3
Pb  0.0000  0.0000  0.0000 x3

spin magnetization: 0.00 Bohr magnetons per cell
distance to the lowest polymorph of the same formula: 126 meV per atom
E_form: 0.084 eV/atom
N(E_F): 16.4 states/eV per cell

The following is a PBE calculation of a relaxed Pa3MnPb crystal, from the Alexandria database.

abc: 5.033 5.033 5.033
angles: 90.00 90.00 90.00
Space group Pm-3m (No. 221)
One atom of each set of equivalent atoms:
Pa  0.000  0.000  0.500 x3
Mn  0.000  0.000  0.000 x1
Pb  0.500  0.500  0.500 x1

spin magnetization: 0.00 Bohr magnetons per cell
E_form: 0.052 eV/atom
N(E_F): 12.1 states/eV per cell

The following is a PBE calculation of a relaxed PaMnPb crystal, from the Alexandria database.

abc: 4.183 5.949 6.002
angles: 99.32 109.18 101.12
Space group P-1 (No. 2)
One atom of each set of equivalent atoms:
Pa  0.223  0.347  0.218 x2
Mn  0.094  0.641  0.380 x2
Pb  0.391  0.092  0.744 x2

spin magnetization: 0.00 Bohr magnetons per cell
E_form: 0.016 eV/atom
N(E_F): 6.3 states/eV per cell

The following is a PBE calculation of a relaxed PaMnPb crystal, from the Alexandria database.

abc: 3.8529 3.8529 5.3641
angles: 90.00 90.00 120.00
Space group P3m1 (No. 156)
One atom of each set of equivalent atoms:
Pa  0.0000  0.0000  0.0000 x1
Mn  0.3333  0.6667  0.8591 x1
Pb  0.6667  0.3333  0.5027 x1

spin magnetization: 0.00 Bohr magnetons per cell
E_form: 0.273 eV/atom
N(E_F): 0.9 states/eV per cell

The following is a PBE calculation of a relaxed Pa2MnPb crystal, from the Alexandria database.

abc: 3.173 3.173 8.821
angles: 90.00 90.00 90.00
Space group P4/mmm (No. 123)
One atom of each set of equivalent atoms:
Pa  0.000  0.000  0.200 x2
Mn  0.500  0.500  0.000 x1
Pb  0.500  0.500  0.500 x1

spin magnetization: 0.00 Bohr magnetons per cell
distance to the lowest polymorph of the same formula: 0 meV per atom
E_form: -0.042 eV/atom
N(E_F): 3.8 states/eV per cell

The following is a PBE calculation of a relaxed PaMn4PbS8 crystal, from the Alexandria database.

abc: 7.5351 7.5351 19.0348
angles: 90.00 90.00 120.00
Space group R3m (No. 160, hexagonal axes)
One atom of each set of equivalent atoms:
Pa  0.0000  0.0000  0.0000 x3
Mn  0.0000  0.0000  0.3638 x3
Mn  0.1710  0.3420  0.8321 x9
Pb  0.0000  0.0000  0.6372 x3
S  0.0000  0.0000  0.2365 x3
S  0.0000  0.0000  0.7771 x3
S  0.0060  0.5030  0.7507 x9
S  0.1820  0.3640  0.5718 x9

E_form (uncorrected): -10.40 eV/f.u.
spin magnetization: 27.00 Bohr magnetons per cell
N(E_F): 15.1 states/eV per cell

The following is a PBE calculation of a relaxed Pa2MnPbS8 crystal, from the Alexandria database.

abc: 6.3959 6.3959 7.6284
angles: 90.00 90.00 120.00
Space group P-3 (No. 147)
One atom of each set of equivalent atoms:
Pa  0.3333  0.6667  0.3880 x2
Mn  0.0000  0.0000  0.5000 x1
Pb  0.0000  0.0000  0.0000 x1
S  0.0918  0.3380  0.6720 x6
S  0.3333  0.6667  0.0674 x2

E_form (uncorrected): -11.50 eV/f.u.
spin magnetization: 2.98 Bohr magnetons per cell

The following is a PBE calculation of a relaxed PaMn2Pd8 crystal, from the Alexandria database.

abc: 4.302 12.719 6.719
angles: 90.00 90.00 90.00
Space group Imm2 (No. 44)
One atom of each set of equivalent atoms:
Pa  0.000  0.000  0.000 x2
Mn  0.000  0.345  0.083 x4
Pd  0.000  0.000  0.599 x2
Pd  0.000  0.155  0.309 x4
Pd  0.000  0.198  0.795 x4
Pd  0.000  0.353  0.518 x4
Pd  0.000  0.500  0.818 x2

spin magnetization: 18.13 Bohr magnetons per cell
E_form: -0.382 eV/atom
N(E_F): 9.4 states/eV per cell

The following is a PBE calculation of a relaxed PaMn2Pd crystal, from the Alexandria database.

abc: 4.154 4.154 3.798
angles: 90.00 90.00 90.00
Space group P4/mmm (No. 123)
One atom of each set of equivalent atoms:
Pa  0.000  0.000  0.000 x1
Mn  0.000  0.500  0.500 x2
Pd  0.500  0.500  0.000 x1

spin magnetization: 4.52 Bohr magnetons per cell
E_form: -0.121 eV/atom
N(E_F): 3.9 states/eV per cell

The following is a PBE calculation of a relaxed PaMnPd14 crystal, from the Alexandria database.

abc: 5.714 5.714 7.815
angles: 90.00 90.00 90.00
Space group P4/mmm (No. 123)
One atom of each set of equivalent atoms:
Pa  0.000  0.000  0.000 x1
Mn  0.500  0.500  0.000 x1
Pd  0.000  0.000  0.500 x1
Pd  0.000  0.500  0.000 x2
Pd  0.000  0.500  0.500 x2
Pd  0.252  0.252  0.249 x8
Pd  0.500  0.500  0.500 x1

spin magnetization: 4.97 Bohr magnetons per cell
E_form: -0.314 eV/atom
N(E_F): 20.3 states/eV per cell

The evaluated calculated total energy for the records listed, in turn: -59.63 -36.38 -28.14 -46.84 -28.03 -36.55 -45.49 -64.49 -36.65 -37.71 -37.69 -55.84 -27.55 -21.86 -31.53 -41.11 -22.33 -21.56 -32.04 -93.30 -76.39 -73.58 -33.51 -96.38 eV per formula unit.